Material: FeNiB2
Method: DFT, PBE-GGA
State: optimized geometry

Cell: 4.995 4.995 4.995 Å, 90.00 90.00 90.00°
Space group Fm-3m (No. 225)
Unique sites:
Fe (0.000, 0.000, 0.000) (multiplicity 4)
Ni (0.000, 0.000, 0.500) (multiplicity 4)
B (0.250, 0.250, 0.250) (multiplicity 8)

## Properties
Size of the total moment, μB per formula unit: 0.01
Excess energy over the best structure of this formula in the dataset, meV per atom: 0
DFT formation energy, eV/atom: 0.00